# Sc2V2O7 (GGA+U, optimized geometry)
# electronic total energy: -91.65 eV per cell
# mass density: 3.46 Mg/m³
data_Sc2V2O7
_chemical_formula_sum 'Sc2 V2 O7'
_cell_length_a 5.514
_cell_length_b 5.514
_cell_length_c 5.193
_cell_angle_alpha 84.35
_cell_angle_beta 84.35
_cell_angle_gamma 110.27
_space_group_name_H-M_alt 'P 1'
_space_group_IT_number 1
loop_
_space_group_symop_operation_xyz
'x,y,z'
loop_
_atom_site_label
_atom_site_type_symbol
_atom_site_fract_x
_atom_site_fract_y
_atom_site_fract_z
Sc1 Sc 0.686 0.314 0.500
Sc2 Sc 0.314 0.686 0.500
V1 V 0.746 0.746 0.893
V2 V 0.254 0.254 0.107
O1 O 0.946 0.604 0.698
O2 O 0.604 0.946 0.698
O3 O 0.569 0.569 0.230
O4 O 0.431 0.431 0.770
O5 O 0.000 0.000 0.000
O6 O 0.396 0.054 0.302
O7 O 0.054 0.396 0.302